Material: TaMo
Method: DFT, PBEsol
State: optimized geometry

## Properties
Formation energy in eV/atom: -0.1050
V in Å³/cell: 97.88
Mass density in g/cm³: 14.1
Electronic total energy in eV per cell: -73.6
Magnetic moment in μB/cell: 0.00

Lattice parameters (Å, degrees): 2.803 4.487 7.783 90.00 90.37 90.00
Fractional coordinates of all 6 atoms:
1 Ta 0.674 0.000 0.671
2 Ta 0.314 0.000 0.333
3 Mo 0.002 0.500 0.503
4 Mo 0.327 0.500 0.833
5 Mo 0.006 0.000 0.997
6 Ta 0.677 0.500 0.162